Entry 1:
Here is a relaxed SmHoMg2Au4 crystal from the Alexandria database. Energies are from GGA-PBE.

a = 4.941 Å, b = 4.941 Å, c = 8.526 Å
α = 73.16°, β = 73.16°, γ = 60.00°
Fractional coordinates of all 8 atoms:
Sm 0.000 0.000 0.000
Ho 0.500 0.500 0.500
Mg 0.751 0.751 0.748
Mg 0.249 0.249 0.252
Au 0.378 0.378 0.867
Au 0.872 0.872 0.384
Au 0.128 0.128 0.616
Au 0.622 0.622 0.133

Calculated values
Magnetization in μB/atom: 0.000
E_form in kJ/mol of atoms: -74.1
N(E_F) in states/eV/f.u.: 5.17

Entry 2:
Here is a relaxed K2Tl2Ag crystal from the Alexandria database. Energies are from GGA-PBE.

a = 8.107 Å, b = 7.260 Å, c = 8.911 Å
α = 72.71°, β = 57.85°, γ = 56.06°
Fractional coordinates of all 10 atoms:
K 0.623 0.362 0.748
K 0.377 0.638 0.252
K 0.985 0.638 0.748
K 0.015 0.362 0.252
Tl 0.740 0.000 0.424
Tl 0.610 0.000 0.146
Tl 0.390 0.000 0.854
Tl 0.260 0.000 0.576
Ag 0.114 0.772 0.000
Ag 0.886 0.228 0.000

Calculated values
Magnetization in μB/atom: 0.000
ΔE to the lowest computed polymorph in meV/atom: 0.0
E_form in kJ/mol of atoms: 0.2
N(E_F) in states/eV/f.u.: 2.13